(1)
This record from Alexandria via LeMat-Bulk describes crystalline Ti3AuO at its relaxed geometry. The functional is PBE.

Structure (POSCAR):
```
Ti3AuO
1.0
-0.269 -4.377 6.402
-6.528 -0.364 4.179
-4.205 -6.521 0.067
Au O Ti
4 4 12
direct
0.625 0.625 0.625
0.625 0.125 0.625
0.125 0.625 0.625
0.625 0.625 0.125
0.125 0.125 0.125
0.125 0.625 0.125
0.625 0.125 0.125
0.125 0.125 0.625
0.815 0.185 0.185
0.065 0.435 0.435
0.435 0.435 0.065
0.435 0.065 0.065
0.065 0.435 0.065
0.815 0.185 0.815
0.435 0.065 0.435
0.065 0.065 0.435
0.185 0.815 0.185
0.185 0.815 0.815
0.185 0.185 0.815
0.815 0.815 0.185
```

Values from the calculation:
The electronic total energy is -0.5332 Ry/atom. The value obtained for the total magnetization is 0.0 Bohr magnetons per cell. The calculation puts the density of states at the Fermi level at 9.69 states/eV/f.u. For the formation energy without anion corrections, the calculation gives -20.07 kcal/mol of atoms.

(2)
This record from Alexandria via LeMat-Bulk describes crystalline Ti3AuO at its relaxed geometry. The functional is PBE.

Structure (POSCAR):
```
Ti3AuO
1.0
18.022 0.000 -3.964
7.084 1.674 -4.305
-7.084 1.674 4.305
Au O Ti
2 2 6
direct
0.817 0.079 0.921
0.183 0.921 0.079
0.691 0.915 0.085
0.309 0.085 0.915
0.308 0.641 0.359
0.692 0.359 0.641
0.116 0.189 0.811
0.884 0.811 0.189
0.591 0.717 0.283
0.409 0.283 0.717
```

Values from the calculation:
The electronic total energy is -0.5470 Ry/atom. The value obtained for the total magnetization is 0.0 Bohr magnetons per cell. The calculation puts the density of states at the Fermi level at 3.93 states/eV/f.u. For the formation energy without anion corrections, the calculation gives -24.39 kcal/mol of atoms.

(3)
This record from Alexandria via LeMat-Bulk describes crystalline Ti3AuO at its relaxed geometry. The functional is PBE.

Structure (POSCAR):
```
Ti3AuO
1.0
-6.321 16.165 6.588
-4.895 5.920 4.255
4.253 -7.659 -0.604
Au O Ti
2 2 6
direct
0.685 0.880 0.120
0.315 0.120 0.880
0.928 0.893 0.107
0.072 0.107 0.893
0.197 0.856 0.144
0.803 0.144 0.856
0.943 0.365 0.635
0.057 0.635 0.365
0.563 0.623 0.377
0.437 0.377 0.623
```

Values from the calculation:
The electronic total energy is -0.5621 Ry/atom. The value obtained for the total magnetization is 1.9 Bohr magnetons per cell. The calculation puts the density of states at the Fermi level at 3.39 states/eV/f.u. For the formation energy without anion corrections, the calculation gives -29.13 kcal/mol of atoms.

(4)
This record from Alexandria via LeMat-Bulk describes crystalline Ti3AuO at its relaxed geometry. The functional is PBE.

Structure (POSCAR):
```
Ti3AuO
1.0
9.425 -0.011 -0.001
-0.484 2.991 0.001
-1.773 1.245 5.120
Au O Ti
2 2 6
direct
0.546 0.969 0.523
0.794 0.867 0.973
0.030 0.692 0.561
0.310 0.144 0.935
0.541 0.237 0.980
0.269 0.769 0.644
0.315 0.510 0.208
0.071 0.066 0.852
0.799 0.598 0.516
0.025 0.325 0.288
```

Values from the calculation:
The electronic total energy is -0.5582 Ry/atom. The value obtained for the total magnetization is 0.0 Bohr magnetons per cell. The calculation puts the density of states at the Fermi level at 4.03 states/eV/f.u. For the formation energy without anion corrections, the calculation gives -27.92 kcal/mol of atoms.

(5)
This record from Alexandria via LeMat-Bulk describes crystalline Ti3AuO at its relaxed geometry. The functional is PBE.

Structure (POSCAR):
```
Ti3AuO
1.0
4.833 0.000 0.000
-0.001 5.042 0.000
0.000 0.000 5.881
Au O Ti
2 2 6
direct
0.240 0.497 0.185
0.740 0.869 0.185
0.490 0.183 0.685
0.990 0.183 0.685
0.740 0.381 0.929
0.740 0.852 0.685
0.240 0.986 0.929
0.740 0.381 0.442
0.240 0.986 0.442
0.240 0.515 0.685
```

Values from the calculation:
The electronic total energy is -0.5580 Ry/atom. The value obtained for the total magnetization is 0.0 Bohr magnetons per cell. The calculation puts the density of states at the Fermi level at 5.15 states/eV/f.u. For the formation energy without anion corrections, the calculation gives -27.85 kcal/mol of atoms.

(6)
This record from Alexandria via LeMat-Bulk describes crystalline Ti3AuO at its relaxed geometry. The functional is PBE.

Structure (POSCAR):
```
Ti3AuO
1.0
21.176 0.000 -3.100
0.000 5.407 0.000
-7.621 0.000 3.679
Au O Ti
4 4 12
direct
0.007 0.173 0.404
0.993 0.827 0.596
0.493 0.673 0.096
0.507 0.327 0.904
0.530 0.767 0.660
0.470 0.233 0.340
0.970 0.267 0.840
0.030 0.733 0.160
0.293 0.894 0.919
0.707 0.106 0.081
0.207 0.394 0.581
0.793 0.606 0.419
0.349 0.447 0.235
0.651 0.553 0.765
0.151 0.947 0.265
0.849 0.053 0.735
0.422 0.863 0.624
0.578 0.137 0.376
0.078 0.363 0.876
0.922 0.637 0.124
```

Values from the calculation:
The electronic total energy is -0.5533 Ry/atom. The value obtained for the total magnetization is 0.0 Bohr magnetons per cell. The calculation puts the density of states at the Fermi level at 4.44 states/eV/f.u. For the formation energy without anion corrections, the calculation gives -26.39 kcal/mol of atoms.

(7)
This record from Alexandria via LeMat-Bulk describes crystalline Ti3AuO at its relaxed geometry. The functional is PBE.

Structure (POSCAR):
```
Ti3AuO
1.0
-2.269 -2.741 3.339
4.909 -2.938 0.923
-1.163 4.749 3.109
Au O Ti
2 2 6
direct
0.240 0.535 0.018
0.740 0.202 0.352
0.490 0.868 0.685
0.990 0.868 0.685
0.740 0.208 0.855
0.740 0.699 0.856
0.240 0.039 0.025
0.740 0.698 0.345
0.240 0.529 0.515
0.240 0.038 0.515
```

Values from the calculation:
The electronic total energy is -0.5607 Ry/atom. The value obtained for the total magnetization is 0.0 Bohr magnetons per cell. The calculation puts the density of states at the Fermi level at 6.01 states/eV/f.u. For the formation energy without anion corrections, the calculation gives -28.69 kcal/mol of atoms.

(8)
This record from Alexandria via LeMat-Bulk describes crystalline UTiAuO6 at its relaxed geometry. The functional is PBE.

Structure (POSCAR):
```
UTiAuO6
1.0
5.467 0.000 0.000
-2.734 4.735 0.000
0.000 0.000 9.327
U Ti Au O
2 2 2 12
direct
0.333 0.667 0.250
0.667 0.333 0.750
0.667 0.333 0.250
0.333 0.667 0.750
0.000 0.000 0.000
0.000 0.000 0.500
0.645 0.631 0.138
0.985 0.355 0.138
0.355 0.985 0.638
0.015 0.645 0.862
0.369 0.355 0.362
0.985 0.631 0.362
0.631 0.985 0.862
0.645 0.015 0.362
0.015 0.369 0.638
0.369 0.015 0.138
0.631 0.645 0.638
0.355 0.369 0.862
```

Values from the calculation:
The electronic total energy is -0.5872 Ry/atom. The value obtained for the total magnetization is 1.1 Bohr magnetons per cell. The calculation puts the density of states at the Fermi level at 5.66 states/eV/f.u. For the formation energy without anion corrections, the calculation gives -50.46 kcal/mol of atoms.

Question: What is the formula in the first record?
Answer: Ti3AuO

Question: Look up the electronic total energy of the first one.
Answer: -0.5332 Ry/atom

Question: formation energy without anion corrections of number 8 (UTiAuO6)?
Answer: -50.46 kcal/mol of atoms